Density functional theory data (PBE-GGA) for crystalline DyFeNiGe2 at its relaxed geometry.

Cell: 4.0564 4.0564 9.9239 Å, 90.00 90.00 90.00°
Element x y z (fractional)
Dy (0.0000, 0.0000, 0.0000)
Dy (0.5000, 0.5000, 0.5000)
Fe (0.0000, 0.5000, 0.7500)
Fe (0.5000, 0.0000, 0.2500)
Ni (0.0000, 0.5000, 0.2500)
Ni (0.5000, 0.0000, 0.7500)
Ge (0.0000, 0.0000, 0.3711)
Ge (0.0000, 0.0000, 0.6289)
Ge (0.5000, 0.5000, 0.1289)
Ge (0.5000, 0.5000, 0.8711)

Energy (eV per cell): -61.136
Spin magnetization (Bohr magnetons per cell): 3.16


Density functional theory data (PBE-GGA) for crystalline DyFeGe2Pd at its relaxed geometry.

Cell: 4.1926 4.1926 10.0733 Å, 90.00 90.00 90.00°
Element x y z (fractional)
Dy (0.0000, 0.0000, 0.0000)
Dy (0.5000, 0.5000, 0.5000)
Fe (0.0000, 0.5000, 0.7500)
Fe (0.5000, 0.0000, 0.2500)
Ge (0.0000, 0.0000, 0.3760)
Ge (0.0000, 0.0000, 0.6240)
Ge (0.5000, 0.5000, 0.1240)
Ge (0.5000, 0.5000, 0.8760)
Pd (0.0000, 0.5000, 0.2500)
Pd (0.5000, 0.0000, 0.7500)

Energy (eV per cell): -60.607
Spin magnetization (Bohr magnetons per cell): 4.17


Density functional theory data (PBE-GGA) for crystalline TbDyFeGe2 at its relaxed geometry.

Cell: 5.7186 5.7186 10.2539 Å, 116.06 116.06 43.29°
Element x y z (fractional)
Tb (0.0041, 0.0041, 0.3310)
Tb (0.9959, 0.9959, 0.6690)
Dy (0.1865, 0.1865, 0.1109)
Dy (0.8135, 0.8135, 0.8891)
Fe (0.2783, 0.2783, 0.6417)
Fe (0.7217, 0.7217, 0.3583)
Ge (0.3460, 0.3460, 0.4350)
Ge (0.4883, 0.4883, 0.1239)
Ge (0.5117, 0.5117, 0.8761)
Ge (0.6540, 0.6540, 0.5650)

Energy (eV per cell): -60.233
Spin magnetization (Bohr magnetons per cell): 2.57


Density functional theory data (PBE-GGA) for crystalline Dy4TlFe2Ge4 at its relaxed geometry.

Cell: 8.0595 8.0595 7.0571 Å, 106.74 106.74 30.33°
Element x y z (fractional)
Dy (0.0916, 0.0916, 0.3900)
Dy (0.1533, 0.1533, 0.9400)
Dy (0.8467, 0.8467, 0.0600)
Dy (0.9084, 0.9084, 0.6100)
Tl (0.5000, 0.5000, 0.0000)
Fe (0.2800, 0.2800, 0.3730)
Fe (0.7200, 0.7200, 0.6270)
Ge (0.2900, 0.2900, 0.7236)
Ge (0.4304, 0.4304, 0.3447)
Ge (0.5696, 0.5696, 0.6553)
Ge (0.7100, 0.7100, 0.2764)

Energy (eV per cell): -62.735
Spin magnetization (Bohr magnetons per cell): 0.00


Density functional theory data (PBE-GGA) for crystalline DyHoFe2 at its relaxed geometry.

Cell: 3.7238 7.7168 5.6064 Å, 90.00 90.00 90.00°
Element x y z (fractional)
Dy (0.0000, 0.0728, 0.0000)
Dy (0.5000, 0.9272, 0.5000)
Ho (0.0000, 0.5714, 0.2731)
Ho (0.5000, 0.4286, 0.7731)
Fe (0.0000, 0.2206, 0.4841)
Fe (0.0000, 0.7186, 0.7904)
Fe (0.5000, 0.2814, 0.2904)
Fe (0.5000, 0.7794, 0.9841)

Energy (eV per cell): -51.672
Energy of formation from the pure elements (eV/atom): -0.01
Spin magnetization (Bohr magnetons per cell): 4.39


Density functional theory data (PBE-GGA) for crystalline DyHo2Fe2 at its relaxed geometry.

Cell: 6.7796 6.7796 9.4248 Å, 109.34 109.34 32.91°
Element x y z (fractional)
Dy (0.1352, 0.1352, 0.3765)
Dy (0.8648, 0.8648, 0.6235)
Ho (0.1358, 0.1358, 0.9945)
Ho (0.3906, 0.3906, 0.3209)
Ho (0.6094, 0.6094, 0.6791)
Ho (0.8642, 0.8642, 0.0055)
Fe (0.2731, 0.2731, 0.7622)
Fe (0.4584, 0.4584, 0.8657)
Fe (0.5416, 0.5416, 0.1343)
Fe (0.7269, 0.7269, 0.2378)

Energy (eV per cell): -60.686
Energy of formation from the pure elements (eV/atom): 0.01
Spin magnetization (Bohr magnetons per cell): 4.22


Density functional theory data (PBE-GGA) for crystalline DyHoFe at its relaxed geometry.

Cell: 6.5736 6.5736 6.5736 Å, 90.00 90.00 90.00°
Element x y z (fractional)
Dy (0.0000, 0.0000, 0.0000)
Dy (0.0000, 0.5000, 0.5000)
Dy (0.5000, 0.0000, 0.5000)
Dy (0.5000, 0.5000, 0.0000)
Ho (0.0000, 0.0000, 0.5000)
Ho (0.0000, 0.5000, 0.0000)
Ho (0.5000, 0.0000, 0.0000)
Ho (0.5000, 0.5000, 0.5000)
Fe (0.2500, 0.2500, 0.2500)
Fe (0.2500, 0.7500, 0.7500)
Fe (0.7500, 0.2500, 0.7500)
Fe (0.7500, 0.7500, 0.2500)

Distance to the lowest polymorph of the same formula (meV per atom): 0
Energy (eV per cell): -67.612
Energy of formation from the pure elements (eV/atom): 0.19
Spin magnetization (Bohr magnetons per cell): 0.74


Density functional theory data (PBE-GGA) for crystalline Dy2HoFeSn3Ir2 at its relaxed geometry.

Cell: 3.7390 7.6047 7.6047 Å, 119.96 90.00 90.00°
Element x y z (fractional)
Dy (0.0000, 0.2037, 0.7963)
Dy (0.0000, 0.7963, 0.2037)
Ho (0.0000, 0.3891, 0.3891)
Fe (0.0000, 0.7961, 0.7961)
Sn (0.5000, 0.0541, 0.0541)
Sn (0.5000, 0.5388, 0.7960)
Sn (0.5000, 0.7960, 0.5388)
Ir (0.5000, 0.1304, 0.4628)
Ir (0.5000, 0.4628, 0.1304)

Energy (eV per cell): -58.026
Spin magnetization (Bohr magnetons per cell): 1.64


Density functional theory data (PBE-GGA) for crystalline Nd3Dy2HoFeTe2 at its relaxed geometry.

Cell: 4.0450 8.4492 8.4492 Å, 119.99 90.00 90.00°
Element x y z (fractional)
Nd (0.0000, 0.0000, 0.0000)
Nd (0.0000, 0.1954, 0.5975)
Nd (0.0000, 0.5975, 0.1954)
Dy (0.5000, 0.5975, 0.8271)
Dy (0.5000, 0.8271, 0.5975)
Ho (0.5000, 0.3681, 0.3681)
Fe (0.0000, 0.5968, 0.5968)
Te (0.5000, 0.2642, 0.9311)
Te (0.5000, 0.9311, 0.2642)

Energy (eV per cell): -48.480
Spin magnetization (Bohr magnetons per cell): 0.00


Density functional theory data (PBE-GGA) for crystalline Nd3DyHo2FeTe2 at its relaxed geometry.

Cell: 4.0401 8.4416 8.4416 Å, 119.99 90.00 90.00°
Element x y z (fractional)
Nd (0.0000, 0.0000, 0.0000)
Nd (0.0000, 0.4020, 0.8042)
Nd (0.0000, 0.8042, 0.4020)
Dy (0.5000, 0.6315, 0.6315)
Ho (0.5000, 0.1726, 0.4020)
Ho (0.5000, 0.4020, 0.1726)
Fe (0.0000, 0.4016, 0.4016)
Te (0.5000, 0.0689, 0.7353)
Te (0.5000, 0.7353, 0.0689)

Energy (eV per cell): -48.466
Spin magnetization (Bohr magnetons per cell): 0.03


Density functional theory data (PBE-GGA) for crystalline DyHo2Fe2Ni7 at its relaxed geometry.

Cell: 8.5572 8.5572 8.5572 Å, 33.74 33.74 33.74°
Element x y z (fractional)
Dy (0.0000, 0.0000, 0.0000)
Ho (0.1388, 0.1388, 0.1388)
Ho (0.8612, 0.8612, 0.8612)
Fe (0.3329, 0.3329, 0.3329)
Fe (0.6671, 0.6671, 0.6671)
Ni (0.0820, 0.5815, 0.5815)
Ni (0.4185, 0.4185, 0.9180)
Ni (0.4185, 0.9180, 0.4185)
Ni (0.5000, 0.5000, 0.5000)
Ni (0.5815, 0.0820, 0.5815)
Ni (0.5815, 0.5815, 0.0820)
Ni (0.9180, 0.4185, 0.4185)

Energy (eV per cell): -73.611
Energy of formation from the pure elements (eV/atom): -0.36
Spin magnetization (Bohr magnetons per cell): 6.06


Density functional theory data (PBE-GGA) for crystalline DyHo2Fe8Ni at its relaxed geometry.

Cell: 8.6199 8.6199 8.6199 Å, 33.88 33.88 33.88°
Element x y z (fractional)
Dy (0.0000, 0.0000, 0.0000)
Ho (0.1417, 0.1417, 0.1417)
Ho (0.8583, 0.8583, 0.8583)
Fe (0.0798, 0.5822, 0.5822)
Fe (0.3331, 0.3331, 0.3331)
Fe (0.4178, 0.4178, 0.9202)
Fe (0.4178, 0.9202, 0.4178)
Fe (0.5822, 0.0798, 0.5822)
Fe (0.5822, 0.5822, 0.0798)
Fe (0.6669, 0.6669, 0.6669)
Fe (0.9202, 0.4178, 0.4178)
Ni (0.5000, 0.5000, 0.5000)

Energy (eV per cell): -87.181
Energy of formation from the pure elements (eV/atom): -0.12
Spin magnetization (Bohr magnetons per cell): 16.78


Density functional theory data (PBE-GGA) for crystalline Dy2HoFe2Ni7 at its relaxed geometry.

Cell: 8.5700 8.5700 8.5700 Å, 33.73 33.73 33.73°
Element x y z (fractional)
Dy (0.1387, 0.1387, 0.1387)
Dy (0.8613, 0.8613, 0.8613)
Ho (0.0000, 0.0000, 0.0000)
Fe (0.3329, 0.3329, 0.3329)
Fe (0.6671, 0.6671, 0.6671)
Ni (0.0820, 0.5811, 0.5811)
Ni (0.4189, 0.4189, 0.9180)
Ni (0.4189, 0.9180, 0.4189)
Ni (0.5000, 0.5000, 0.5000)
Ni (0.5811, 0.0820, 0.5811)
Ni (0.5811, 0.5811, 0.0820)
Ni (0.9180, 0.4189, 0.4189)

Energy (eV per cell): -73.585
Energy of formation from the pure elements (eV/atom): -0.35
Spin magnetization (Bohr magnetons per cell): 6.09


Density functional theory data (PBE-GGA) for crystalline Dy2HoFe3Ni6 at its relaxed geometry.

Cell: 8.5351 8.5351 8.5351 Å, 34.06 34.06 34.06°
Element x y z (fractional)
Dy (0.1387, 0.1387, 0.1387)
Dy (0.8613, 0.8613, 0.8613)
Ho (0.0000, 0.0000, 0.0000)
Fe (0.3333, 0.3333, 0.3333)
Fe (0.5000, 0.5000, 0.5000)
Fe (0.6667, 0.6667, 0.6667)
Ni (0.0822, 0.5821, 0.5821)
Ni (0.4179, 0.4179, 0.9178)
Ni (0.4179, 0.9178, 0.4179)
Ni (0.5821, 0.0822, 0.5821)
Ni (0.5821, 0.5821, 0.0822)
Ni (0.9178, 0.4179, 0.4179)

Energy (eV per cell): -75.591
Energy of formation from the pure elements (eV/atom): -0.29
Spin magnetization (Bohr magnetons per cell): 8.66


Density functional theory data (PBE-GGA) for crystalline DyHoFe2Pb at its relaxed geometry.

Cell: 3.8089 3.8965 14.2378 Å, 90.00 90.00 90.00°
Element x y z (fractional)
Dy (0.0000, 0.0000, 0.0000)
Dy (0.0000, 0.5000, 0.5000)
Ho (0.0000, 0.0000, 0.7237)
Ho (0.0000, 0.5000, 0.2237)
Fe (0.5000, 0.0000, 0.1560)
Fe (0.5000, 0.0000, 0.5686)
Fe (0.5000, 0.5000, 0.0686)
Fe (0.5000, 0.5000, 0.6560)
Pb (0.5000, 0.0000, 0.3616)
Pb (0.5000, 0.5000, 0.8616)

Energy (eV per cell): -61.043
Spin magnetization (Bohr magnetons per cell): 5.99


Density functional theory data (PBE-GGA) for crystalline DyHoFe2Si2 at its relaxed geometry.

Cell: 4.0244 4.0244 6.4707 Å, 90.00 90.00 90.00°
Element x y z (fractional)
Dy (0.0000, 0.0000, 0.0000)
Ho (0.5000, 0.5000, 0.3684)
Fe (0.0000, 0.5000, 0.6829)
Fe (0.5000, 0.0000, 0.6829)
Si (0.0000, 0.0000, 0.5033)
Si (0.5000, 0.5000, 0.8632)

Energy (eV per cell): -40.503
Spin magnetization (Bohr magnetons per cell): 0.10


Density functional theory data (PBE-GGA) for crystalline Dy3Ho3FeTe2 at its relaxed geometry.

Cell: 8.2933 8.2933 3.9599 Å, 90.00 90.00 120.00°
Element x y z (fractional)
Dy (0.0000, 0.6039, 0.0000)
Dy (0.3961, 0.3961, 0.0000)
Dy (0.6039, 0.0000, 0.0000)
Ho (0.0000, 0.2334, 0.5000)
Ho (0.2334, 0.0000, 0.5000)
Ho (0.7666, 0.7666, 0.5000)
Fe (0.0000, 0.0000, 0.0000)
Te (0.3333, 0.6667, 0.5000)
Te (0.6667, 0.3333, 0.5000)

Distance to the lowest polymorph of the same formula (meV per atom): 0
Energy (eV per cell): -47.723
Spin magnetization (Bohr magnetons per cell): 0.29


Density functional theory data (PBE-GGA) for crystalline Dy3Ho3FeTe2 at its relaxed geometry.

Cell: 8.3051 8.3051 3.9613 Å, 90.00 90.00 120.00°
Element x y z (fractional)
Dy (0.0000, 0.2359, 0.0000)
Dy (0.2359, 0.0000, 0.0000)
Dy (0.7641, 0.7641, 0.0000)
Ho (0.0000, 0.6023, 0.5000)
Ho (0.3977, 0.3977, 0.5000)
Ho (0.6023, 0.0000, 0.5000)
Fe (0.0000, 0.0000, 0.5000)
Te (0.3333, 0.6667, 0.0000)
Te (0.6667, 0.3333, 0.0000)

Distance to the lowest polymorph of the same formula (meV per atom): 16
Energy (eV per cell): -47.580
Spin magnetization (Bohr magnetons per cell): 0.34


Density functional theory data (PBE-GGA) for crystalline TbDyFe2I2 at its relaxed geometry.

Cell: 3.9606 3.9606 12.3539 Å, 90.00 90.00 120.00°
Element x y z (fractional)
Tb (0.0000, 0.0000, 0.0000)
Dy (0.0000, 0.0000, 0.3120)
Fe (0.3333, 0.6667, 0.1596)
Fe (0.6667, 0.3333, 0.1536)
I (0.3333, 0.6667, 0.8255)
I (0.6667, 0.3333, 0.4860)

Energy (eV per cell): -33.173
Spin magnetization (Bohr magnetons per cell): 2.15


Density functional theory data (PBE-GGA) for crystalline DyTmFe2I2 at its relaxed geometry.

Cell: 3.9266 3.9266 11.7293 Å, 90.00 90.00 120.00°
Element x y z (fractional)
Dy (0.0000, 0.0000, 0.0000)
Tm (0.0000, 0.0000, 0.3252)
Fe (0.3333, 0.6667, 0.1679)
Fe (0.6667, 0.3333, 0.1617)
I (0.3333, 0.6667, 0.8157)
I (0.6667, 0.3333, 0.5064)

Energy (eV per cell): -33.006
Spin magnetization (Bohr magnetons per cell): 2.09


Density functional theory data (PBE-GGA) for crystalline DyIn6Fe6 at its relaxed geometry.

Cell: 7.0210 7.0210 7.0210 Å, 135.66 98.63 97.75°
Element x y z (fractional)
Dy (0.0000, 0.0000, 0.0000)
In (0.1780, 0.5000, 0.6780)
In (0.3267, 0.3267, 0.0000)
In (0.3410, 0.0000, 0.3410)
In (0.6590, 0.0000, 0.6590)
In (0.6733, 0.6733, 0.0000)
In (0.8220, 0.5000, 0.3220)
Fe (0.0000, 0.0000, 0.5000)
Fe (0.0000, 0.5000, 0.0000)
Fe (0.2418, 0.7418, 0.5000)
Fe (0.5000, 0.0000, 0.0000)
Fe (0.5000, 0.5000, 0.5000)
Fe (0.7582, 0.2582, 0.5000)

Energy (eV per cell): -71.065
Spin magnetization (Bohr magnetons per cell): 12.93


Density functional theory data (PBE-GGA) for crystalline SmDy2In3Fe3 at its relaxed geometry.

Cell: 3.9196 7.4712 7.4712 Å, 119.66 90.00 90.00°
Element x y z (fractional)
Sm (0.0000, 0.0000, 0.0000)
Dy (0.0000, 0.1769, 0.5835)
Dy (0.0000, 0.5835, 0.1769)
In (0.5000, 0.3329, 0.3329)
In (0.5000, 0.5850, 0.8429)
In (0.5000, 0.8429, 0.5850)
Fe (0.0000, 0.5851, 0.5851)
Fe (0.5000, 0.2533, 0.9159)
Fe (0.5000, 0.9159, 0.2533)

Energy (eV per cell): -47.764
Spin magnetization (Bohr magnetons per cell): 5.51


Density functional theory data (PBE-GGA) for crystalline Dy2TmIn3Fe3 at its relaxed geometry.

Cell: 3.8368 7.4744 7.4744 Å, 120.23 90.00 90.00°
Element x y z (fractional)
Dy (0.0000, 0.2049, 0.7951)
Dy (0.0000, 0.7951, 0.2049)
Tm (0.0000, 0.6081, 0.6081)
In (0.5000, 0.2036, 0.4616)
In (0.5000, 0.4616, 0.2036)
In (0.5000, 0.9430, 0.9430)
Fe (0.0000, 0.2046, 0.2046)
Fe (0.5000, 0.5385, 0.8687)
Fe (0.5000, 0.8687, 0.5385)

Energy (eV per cell): -47.562
Spin magnetization (Bohr magnetons per cell): 5.38


Density functional theory data (PBE-GGA) for crystalline DyTmInFe2 at its relaxed geometry.

Cell: 3.9610 3.7600 13.6346 Å, 90.00 90.00 90.00°
Element x y z (fractional)
Dy (0.0000, 0.0000, 0.0000)
Dy (0.0000, 0.5000, 0.5000)
Tm (0.0000, 0.0000, 0.7230)
Tm (0.0000, 0.5000, 0.2230)
In (0.5000, 0.0000, 0.3607)
In (0.5000, 0.5000, 0.8607)
Fe (0.5000, 0.0000, 0.1540)
Fe (0.5000, 0.0000, 0.5719)
Fe (0.5000, 0.5000, 0.0719)
Fe (0.5000, 0.5000, 0.6540)

Energy (eV per cell): -59.021
Spin magnetization (Bohr magnetons per cell): 2.84